1.
A plane-wave DFT calculation with PBE was carried out for CaReOs after structural relaxation.

Unit cell a=4.403 b=4.403 c=4.403 alpha=60.00 beta=60.00 gamma=60.00
Sites, in units of the cell vectors:
Ca  0.000  0.000  0.000
Re  0.500  0.500  0.500
Os  0.750  0.750  0.750

## Properties
Total moment: 0.000 μB per atom
Calculated total energy: -7.7317 eV per atom
DFT formation energy: 828.1 meV per atom
DOS(E_F): 2.49 states/eV per cell
Space-group type: F-43m (216)



2.
A plane-wave DFT calculation with PBE was carried out for CsNa2GeAu after structural relaxation.

Unit cell a=5.819 b=5.819 c=4.964 alpha=90.00 beta=90.00 gamma=90.00
Sites, in units of the cell vectors:
Cs  0.000  0.000  0.000
Na  0.000  0.500  0.500
Na  0.500  0.000  0.500
Ge  0.500  0.500  0.000
Au  0.500  0.500  0.500

## Properties
Total moment: 0.000 μB per atom
Calculated total energy: -2.3814 eV per atom
DFT formation energy: -104.2 meV per atom
DOS(E_F): 1.97 states/eV per cell
Space-group type: P4/mmm (123)



3.
A plane-wave DFT calculation with PBE was carried out for Tb2DyAg6 after structural relaxation.

Unit cell a=8.524 b=8.524 c=5.326 alpha=98.89 beta=98.89 gamma=143.67
Sites, in units of the cell vectors:
Tb  0.165  0.835  0.000
Tb  0.835  0.165  0.000
Dy  0.000  0.000  0.500
Ag  0.168  0.500  0.664
Ag  0.339  0.339  0.177
Ag  0.500  0.168  0.664
Ag  0.500  0.832  0.336
Ag  0.661  0.661  0.823
Ag  0.832  0.500  0.336

## Properties
Total moment: 0.000 μB per atom
Calculated total energy: -3.6859 eV per atom
DFT formation energy: -244.8 meV per atom
DOS(E_F): 5.46 states/eV per cell
Space-group type: C2/m (12)



4.
A plane-wave DFT calculation with PBE was carried out for BeCdCu2 after structural relaxation.

Unit cell a=4.659 b=4.659 c=4.659 alpha=132.82 beta=132.82 gamma=68.93
Sites, in units of the cell vectors:
Be  0.000  0.000  0.000
Cd  0.250  0.750  0.500
Cu  0.500  0.500  0.000
Cu  0.750  0.250  0.500

## Properties
Total moment: 0.000 μB per atom
Calculated total energy: -3.0304 eV per atom
DFT formation energy: 178.0 meV per atom
DOS(E_F): 0.88 states/eV per cell
Space-group type: I-4m2 (119)